Computed, not measured: a relaxed Sr2Hg2Au3 crystal at the PBE level of DFT.

For the electronic total energy, the calculation gives -35.47 eV per cell. For the density of states at the Fermi level, the calculation gives 4.72 states/eV/cell. The calculation puts the size of the total moment at 0.0 μB/f.u.

The structure belongs to space group C2/m (No. 12); the cell edges are 11.335, 4.758 and 7.064 Å and the angles 90.00°, 105.57° and 90.00°. The inequivalent atoms are Sr at (0.103, 0.000, 0.323), Hg at (0.231, 0.000, 0.849), Au at (0.000, 0.500, 0.000) and Au at (0.102, 0.500, 0.663).